1.
The following is a DFT calculation (PBE) of a geometry-optimized K2NaBr structure.

```
K2NaBr
1.0
-3.5539 -0.0229 -2.1006
-1.2052 -3.3590 2.0756
-4.1928 5.8484 7.0299
Br Na K
1 1 2
direct
0.5000 0.5000 0.0000
0.5000 0.5000 0.5000
0.0000 0.0000 0.8055
0.0000 0.0000 0.1945
```

Results
The raw formation energy comes out at -0.780 eV per atom. The crystal system is tetragonal.

2.
The following is a DFT calculation (PBE) of a geometry-optimized Ca3Ac4Co2 structure.

```
Ca3Ac4Co2
1.0
4.0759 0.0000 0.0000
-2.0380 9.2608 -3.9884
0.0000 -1.3443 9.7458
Co Ca Ac
2 3 4
direct
0.6793 0.3585 0.7882
0.3207 0.6415 0.2118
0.6428 0.2857 0.4646
0.3572 0.7143 0.5354
0.0000 0.0000 0.0000
0.7070 0.4139 0.1187
0.2930 0.5861 0.8813
0.9255 0.8510 0.2816
0.0745 0.1490 0.7184
```

Results
The formation energy comes out at 0.36 eV per formula unit. The crystal system is monoclinic.

3.
The following is a DFT calculation (PBE) of a geometry-optimized PaZnIr4 structure.

```
PaZnIr4
1.0
5.2749 0.0000 0.0000
2.6374 4.5682 0.0000
2.6374 1.5227 4.3069
Pa Ir Zn
1 4 1
direct
0.2500 0.2500 0.2500
0.6259 0.6259 0.6259
0.6259 0.6259 0.1222
0.6259 0.1222 0.6259
0.1222 0.6259 0.6259
0.0000 0.0000 0.0000
```

Results
The formation energy comes out at -2.68 eV per formula unit. The crystal system is cubic.

4.
The following is a DFT calculation (PBE) of a geometry-optimized LiHo2Cd3 structure.

```
LiHo2Cd3
1.0
5.1450 0.0000 0.0000
-2.5725 4.4557 0.0000
0.0000 0.0000 12.5302
Cd Li Ho
6 2 4
direct
0.0000 0.0000 0.7450
0.3333 0.6667 0.9075
0.3333 0.6667 0.4230
0.6667 0.3333 0.5770
0.6667 0.3333 0.0925
0.0000 0.0000 0.2550
0.3333 0.6667 0.6641
0.6667 0.3333 0.3359
0.3333 0.6667 0.1728
0.0000 0.0000 0.5000
0.6667 0.3333 0.8272
0.0000 0.0000 0.0000
```

Results
The formation energy comes out at -1.65 eV per formula unit. The crystal system is trigonal.

5.
The following is a DFT calculation (PBE) of a geometry-optimized Cd3Cu5 structure.

```
Cd3Cu5
1.0
3.0627 0.0000 0.0000
0.0000 3.0627 0.0000
0.0000 0.0000 13.0574
Cu Cd
5 3
direct
0.5000 0.5000 0.3648
0.0000 0.0000 0.2686
0.0000 0.0000 0.7314
0.5000 0.5000 0.6352
0.0000 0.0000 0.0000
0.5000 0.5000 0.1347
0.0000 0.0000 0.5000
0.5000 0.5000 0.8653
```

Results
The formation energy comes out at 0.55 eV per formula unit. The crystal system is tetragonal.

6.
The following is a DFT calculation (PBE) of a geometry-optimized ScTc2Ru structure.

```
ScTc2Ru
1.0
5.0386 -0.0244 0.0000
-2.4543 4.4005 0.0000
0.0000 0.0000 2.8341
Sc Tc Ru
1 2 1
direct
0.0000 0.5000 0.5000
0.0000 0.0000 0.0000
0.5000 0.5000 0.0000
0.5000 0.0000 0.5000
```

Results
The formation energy comes out at 0.33 eV per formula unit. The crystal system is orthorhombic.

7.
The following is a DFT calculation (PBE) of a geometry-optimized Ca2AcNiAg structure.

```
Ca2AcNiAg
1.0
-3.1609 4.2094 1.2671
-4.3802 -2.8841 -1.3456
-0.3825 -1.8653 5.2424
Ni Ca Ag Ac
1 2 1 1
direct
0.0000 0.0000 0.9980
0.5000 0.0000 0.9934
0.0000 0.5000 0.9934
0.5000 0.5000 0.5180
0.0000 0.0000 0.4972
```

Results
The formation energy comes out at -0.29 eV per formula unit. The crystal system is tetragonal.

8.
The following is a DFT calculation (PBE) of a geometry-optimized RbAl2Cd2 structure.

```
RbAl2Cd2
1.0
9.1191 0.0000 0.0000
0.0000 9.1191 0.0000
0.0000 0.0000 3.0141
Al Cd Rb
4 4 2
direct
0.3685 0.8685 0.0000
0.8685 0.6315 0.0000
0.1315 0.3685 0.0000
0.6315 0.1315 0.0000
0.1551 0.6551 0.5000
0.8449 0.3449 0.5000
0.6551 0.8449 0.5000
0.3449 0.1551 0.5000
0.0000 0.0000 0.0000
0.5000 0.5000 0.0000
```

Results
The formation energy comes out at 0.80 eV per formula unit. The crystal system is tetragonal.

Number 1: electronic total energy -8.3 eV for the cell shown. Number 2: electronic total energy -36.3 eV for the cell shown. Number 3: electronic total energy -48.9 eV for the cell shown. Number 4: electronic total energy -30.9 eV for the cell shown. Number 5: electronic total energy -22.7 eV for the cell shown. Number 6: electronic total energy -36.0 eV for the cell shown. Number 7: electronic total energy -17.0 eV for the cell shown. Number 8: electronic total energy -19.0 eV for the cell shown.